The following is a PBE calculation of Cd2AgSb after structural relaxation, from Alexandria. Values from VASP.

Geometry as Quantum ESPRESSO input:
```
&SYSTEM
  ibrav = 0, nat = 4, ntyp = 3
/
ATOMIC_SPECIES
Sb 121.76 Sb.upf
Ag 107.87 Ag.upf
Cd 112.41 Cd.upf
ATOMIC_POSITIONS crystal
Sb 0.000 0.500 0.500
Ag 0.500 0.500 0.000
Cd 0.000 0.000 0.000
Cd 0.500 0.000 0.500
CELL_PARAMETERS angstrom
-3.584 1.361 5.834
-2.592 -2.127 -4.284
-1.036 -2.505 1.927
```

Values from the calculation:
Space-group type = No. 12
Magnetization = 0.00 μB per formula unit
Energy above the most stable polymorph in this dataset = 41 meV/atom
Formation energy without anion corrections = 0.09 eV/atom
V = 22.8 Å³ per atom